Run a
Pr2CdTe | PBE | optimized geometry

Geometry as CIF:
```
data_Pr2CdTe
_chemical_formula_sum 'Pr6 Cd3 Te3'
_cell_length_a 4.2319
_cell_length_b 4.2319
_cell_length_c 25.6344
_cell_angle_alpha 90.00
_cell_angle_beta 90.00
_cell_angle_gamma 120.00
_space_group_name_H-M_alt 'R 3 m'
_space_group_IT_number 160
_space_group_name_Hall 'R 3 -2"'
loop_
_atom_site_label
_atom_site_type_symbol
_atom_site_fract_x
_atom_site_fract_y
_atom_site_fract_z
Pr1 Pr 0.0000 0.0000 0.0000
Pr2 Pr 0.0000 0.0000 0.1647
Cd1 Cd 0.0000 0.0000 0.5817
Te1 Te 0.0000 0.0000 0.7497
```

***

Run b
Pr2CdTe | PBE | optimized geometry

Geometry as CIF:
```
data_Pr2CdTe
_chemical_formula_sum 'Pr2 Cd1 Te1'
_cell_length_a 4.022
_cell_length_b 4.022
_cell_length_c 7.282
_cell_angle_alpha 90.00
_cell_angle_beta 90.00
_cell_angle_gamma 90.00
_space_group_name_H-M_alt 'P 4/m m m'
_space_group_IT_number 123
_space_group_name_Hall '-P 4 2'
loop_
_atom_site_label
_atom_site_type_symbol
_atom_site_fract_x
_atom_site_fract_y
_atom_site_fract_z
Pr1 Pr 0.000 0.000 0.248
Cd1 Cd 0.500 0.500 0.500
Te1 Te 0.500 0.500 0.000
```

***

Run c
Pr2CdTe | PBE | optimized geometry

Geometry as CIF:
```
data_Pr2CdTe
_chemical_formula_sum 'Pr6 Cd3 Te3'
_cell_length_a 4.3736
_cell_length_b 4.3736
_cell_length_c 23.8482
_cell_angle_alpha 90.00
_cell_angle_beta 90.00
_cell_angle_gamma 120.00
_space_group_name_H-M_alt 'R -3 m'
_space_group_IT_number 166
_space_group_name_Hall '-R 3 2"'
loop_
_atom_site_label
_atom_site_type_symbol
_atom_site_fract_x
_atom_site_fract_y
_atom_site_fract_z
Pr1 Pr 0.0000 0.0000 0.2468
Cd1 Cd 0.0000 0.0000 0.0000
Te1 Te 0.0000 0.0000 0.5000
```

***

run c is the most stable structure; the next one sits 27 meV per atom above it.

***

Run a
Pr2ThCd | PBE | optimized geometry

Geometry as CIF:
```
data_Pr2ThCd
_chemical_formula_sum 'Pr2 Th1 Cd1'
_cell_length_a 3.684
_cell_length_b 3.684
_cell_length_c 9.232
_cell_angle_alpha 90.00
_cell_angle_beta 90.00
_cell_angle_gamma 90.00
_space_group_name_H-M_alt 'P 4/m m m'
_space_group_IT_number 123
_space_group_name_Hall '-P 4 2'
loop_
_atom_site_label
_atom_site_type_symbol
_atom_site_fract_x
_atom_site_fract_y
_atom_site_fract_z
Pr1 Pr 0.000 0.000 0.235
Th1 Th 0.500 0.500 0.500
Cd1 Cd 0.500 0.500 0.000
```

***

Run b
Pr2ThCd | PBE | optimized geometry

Geometry as CIF:
```
data_Pr2ThCd
_chemical_formula_sum 'Pr6 Th3 Cd3'
_cell_length_a 3.5805
_cell_length_b 3.5805
_cell_length_c 37.2296
_cell_angle_alpha 90.00
_cell_angle_beta 90.00
_cell_angle_gamma 120.00
_space_group_name_H-M_alt 'R -3 m'
_space_group_IT_number 166
_space_group_name_Hall '-R 3 2"'
loop_
_atom_site_label
_atom_site_type_symbol
_atom_site_fract_x
_atom_site_fract_y
_atom_site_fract_z
Pr1 Pr 0.0000 0.0000 0.0894
Th1 Th 0.0000 0.0000 0.5000
Cd1 Cd 0.0000 0.0000 0.0000
```

***

run a is the most stable structure; the next one sits 306 meV per atom above it.

***

Run a
PrThCd | PBE | optimized geometry

Geometry as CIF:
```
data_PrThCd
_chemical_formula_sum 'Pr4 Th4 Cd4'
_cell_length_a 3.650
_cell_length_b 17.935
_cell_length_c 5.648
_cell_angle_alpha 90.00
_cell_angle_beta 90.00
_cell_angle_gamma 90.00
_space_group_name_H-M_alt 'C m c m'
_space_group_IT_number 63
_space_group_name_Hall '-C 2c 2'
loop_
_atom_site_label
_atom_site_type_symbol
_atom_site_fract_x
_atom_site_fract_y
_atom_site_fract_z
Pr1 Pr 0.000 0.091 0.250
Th1 Th 0.000 0.226 0.750
Cd1 Cd 0.000 0.437 0.250
```

***

Run b
PrThCd | PBE | optimized geometry

Geometry as CIF:
```
data_PrThCd
_chemical_formula_sum 'Pr1 Th1 Cd1'
_cell_length_a 5.5116
_cell_length_b 5.5116
_cell_length_c 3.3800
_cell_angle_alpha 90.00
_cell_angle_beta 90.00
_cell_angle_gamma 120.00
_space_group_name_H-M_alt 'P 3 m 1'
_space_group_IT_number 156
loop_
_space_group_symop_operation_xyz
'x,y,z'
'-y,x-y,z'
'-x+y,-x,z'
'-y,-x,z'
'-x+y,y,z'
'x,x-y,z'
loop_
_atom_site_label
_atom_site_type_symbol
_atom_site_fract_x
_atom_site_fract_y
_atom_site_fract_z
Pr1 Pr 0.0000 0.0000 0.0000
Th1 Th 0.3333 0.6667 0.4172
Cd1 Cd 0.6667 0.3333 0.7230
```

***

run a is the most stable structure; the next one sits 191 meV per atom above it.

***

Run a
Pr2TiCd | PBE | optimized geometry

Geometry as CIF:
```
data_Pr2TiCd
_chemical_formula_sum 'Pr6 Ti3 Cd3'
_cell_length_a 3.3018
_cell_length_b 3.3018
_cell_length_c 35.3136
_cell_angle_alpha 90.00
_cell_angle_beta 90.00
_cell_angle_gamma 120.00
_space_group_name_H-M_alt 'R -3 m'
_space_group_IT_number 166
_space_group_name_Hall '-R 3 2"'
loop_
_atom_site_label
_atom_site_type_symbol
_atom_site_fract_x
_atom_site_fract_y
_atom_site_fract_z
Pr1 Pr 0.0000 0.0000 0.0841
Ti1 Ti 0.0000 0.0000 0.0000
Cd1 Cd 0.0000 0.0000 0.5000
```

***

Run b
Pr2TiCd | PBE | optimized geometry

Geometry as CIF:
```
data_Pr2TiCd
_chemical_formula_sum 'Pr2 Ti1 Cd1'
_cell_length_a 3.501
_cell_length_b 3.501
_cell_length_c 9.010
_cell_angle_alpha 90.00
_cell_angle_beta 90.00
_cell_angle_gamma 90.00
_space_group_name_H-M_alt 'P 4/m m m'
_space_group_IT_number 123
_space_group_name_Hall '-P 4 2'
loop_
_atom_site_label
_atom_site_type_symbol
_atom_site_fract_x
_atom_site_fract_y
_atom_site_fract_z
Pr1 Pr 0.000 0.000 0.241
Ti1 Ti 0.500 0.500 0.000
Cd1 Cd 0.500 0.500 0.500
```

***

run b is the most stable structure; the next one sits 337 meV per atom above it.

***

Run a
PrTlCd2 | PBE | optimized geometry

Geometry as CIF:
```
data_PrTlCd2
_chemical_formula_sum 'Pr1 Tl1 Cd2'
_cell_length_a 5.1686
_cell_length_b 5.1686
_cell_length_c 6.0161
_cell_angle_alpha 90.00
_cell_angle_beta 90.00
_cell_angle_gamma 120.00
_space_group_name_H-M_alt 'P -6 m 2'
_space_group_IT_number 187
_space_group_name_Hall 'P -6 2'
loop_
_atom_site_label
_atom_site_type_symbol
_atom_site_fract_x
_atom_site_fract_y
_atom_site_fract_z
Pr1 Pr 0.0000 0.0000 0.0000
Tl1 Tl 0.6667 0.3333 0.5000
Cd1 Cd 0.0000 0.0000 0.5000
Cd2 Cd 0.3333 0.6667 0.5000
```

***

Run b
PrTlCd2 | PBE | optimized geometry

Geometry as CIF:
```
data_PrTlCd2
_chemical_formula_sum 'Pr4 Tl4 Cd8'
_cell_length_a 7.524
_cell_length_b 7.524
_cell_length_c 7.524
_cell_angle_alpha 90.00
_cell_angle_beta 90.00
_cell_angle_gamma 90.00
_space_group_name_H-M_alt 'F m -3 m'
_space_group_IT_number 225
_space_group_name_Hall '-F 4 2 3'
loop_
_atom_site_label
_atom_site_type_symbol
_atom_site_fract_x
_atom_site_fract_y
_atom_site_fract_z
Pr1 Pr 0.000 0.000 0.000
Tl1 Tl 0.000 0.000 0.500
Cd1 Cd 0.250 0.250 0.250
```

***

Run c
PrTlCd2 | PBE | optimized geometry

Geometry as CIF:
```
data_PrTlCd2
_chemical_formula_sum 'Pr2 Tl2 Cd4'
_cell_length_a 5.484
_cell_length_b 8.597
_cell_length_c 5.495
_cell_angle_alpha 90.00
_cell_angle_beta 118.33
_cell_angle_gamma 90.00
_space_group_name_H-M_alt 'P 1 21/m 1'
_space_group_IT_number 11
loop_
_space_group_symop_operation_xyz
'x,y,z'
'-x,-y,-z'
'-x,y+1/2,-z'
'x,-y+1/2,z'
loop_
_atom_site_label
_atom_site_type_symbol
_atom_site_fract_x
_atom_site_fract_y
_atom_site_fract_z
Pr1 Pr 0.069 0.250 0.430
Tl1 Tl 0.410 0.250 0.088
Cd1 Cd 0.260 0.578 0.241
```

***

Run d
PrTlCd2 | PBE | optimized geometry

Geometry as CIF:
```
data_PrTlCd2
_chemical_formula_sum 'Pr1 Tl1 Cd2'
_cell_length_a 4.653
_cell_length_b 4.653
_cell_length_c 4.952
_cell_angle_alpha 90.00
_cell_angle_beta 90.00
_cell_angle_gamma 90.00
_space_group_name_H-M_alt 'P 4/m m m'
_space_group_IT_number 123
_space_group_name_Hall '-P 4 2'
loop_
_atom_site_label
_atom_site_type_symbol
_atom_site_fract_x
_atom_site_fract_y
_atom_site_fract_z
Pr1 Pr 0.000 0.000 0.000
Tl1 Tl 0.500 0.500 0.000
Cd1 Cd 0.000 0.500 0.500
```

***

run d is the most stable structure; the next one sits 86 meV per atom above it.